# 1
This record from the Alexandria database describes FeNi2Mo at its PBEsol-relaxed geometry. The functional is meta-GGA SCAN.

Unit cell a=2.529 b=4.104 c=4.484 alpha=90.00 beta=90.00 gamma=90.00
Site moments in Bohr magnetons follow the coordinates.
Fractional positions:
Fe  0.500  0.000  0.544  2.67
Mo  0.500  0.500  0.215  -0.32
Ni  0.000  0.000  0.025  0.38
Ni  0.000  0.500  0.716  0.42

Output
- Space-group type: Pmm2, No. 25
- Electronic total energy: -21.298 eV/atom

# 2
This record from the Alexandria database describes Fe2NiMo at its PBEsol-relaxed geometry. The functional is meta-GGA SCAN.

Unit cell a=2.517 b=2.517 c=7.543 alpha=90.00 beta=90.00 gamma=90.00
Site moments in Bohr magnetons follow the coordinates.
Fractional positions:
Fe  0.500  0.500  0.235  2.67
Fe  0.000  0.000  0.992  2.83
Mo  0.000  0.000  0.507  -0.17
Ni  0.500  0.500  0.765  0.48

Output
- Space-group type: P4mm, No. 99
- Electronic total energy: -21.770 eV/atom

# 3
This record from the Alexandria database describes FeNiMo3 at its PBEsol-relaxed geometry. The functional is meta-GGA SCAN.

Unit cell a=4.334 b=4.334 c=4.334 alpha=90.00 beta=90.00 gamma=90.00
Fractional positions:
Mo  0.000  0.500  0.000
Fe  0.000  0.000  0.000
Ni  0.500  0.500  0.500
Mo  0.500  0.000  0.000
Mo  0.000  0.000  0.500

Output
- Space-group type: Pm-3m, No. 221
- Electronic total energy: -26.374 eV/atom

# 4
This record from the Alexandria database describes FeNi2Mo at its PBEsol-relaxed geometry. The functional is meta-GGA SCAN.

Unit cell a=3.493 b=3.493 c=4.488 alpha=112.90 beta=112.90 gamma=90.00
Site moments in Bohr magnetons follow the coordinates.
Fractional positions:
Mo  0.000  0.000  0.000  -0.59
Fe  0.500  0.500  0.000  2.38
Ni  0.750  0.250  0.500  0.02
Ni  0.250  0.750  0.500  0.02

Output
- Space-group type: I4/mmm, No. 139
- Electronic total energy: -21.304 eV/atom

# 5
This record from the Alexandria database describes YFeNi2Mo at its PBEsol-relaxed geometry. The functional is meta-GGA SCAN.

Unit cell a=4.432 b=4.432 c=5.009 alpha=90.00 beta=90.00 gamma=90.00
Site moments in Bohr magnetons follow the coordinates.
Fractional positions:
Fe  0.500  0.500  0.500  3.25
Y  0.000  0.000  0.500  -0.18
Mo  0.000  0.000  0.000  0.02
Ni  0.000  0.500  0.000  0.02
Ni  0.500  0.000  0.000  0.02

Output
- Space-group type: P4/mmm, No. 123
- Electronic total energy: -21.304 eV/atom

# 6
This record from the Alexandria database describes FeMoPO2 at its PBEsol-relaxed geometry. The functional is meta-GGA SCAN.

Unit cell a=3.713 b=3.713 c=5.117 alpha=90.00 beta=90.00 gamma=90.00
Site moments in Bohr magnetons follow the coordinates.
Fractional positions:
O  0.500  0.000  0.000  0.02
Mo  0.000  0.000  0.000  -0.14
Fe  0.500  0.500  0.500  3.36
P  0.000  0.000  0.500  0.00
O  0.000  0.500  0.000  0.02

Output
- Uncorrected formation energy: -4.0 eV per formula unit
- Space-group type: P4/mmm, No. 123
- Electronic total energy: -15.966 eV/atom